Ho2CoO4 PBE with a Hubbard U relaxed; crystal system = cubic; total magnetization = 3.0 μB/f.u.; calculated density = 7654 kg/m³; symmetry = Fd-3m (227); final energy = -7.580 eV/atom
1.0
1.885 4.813 -3.982
3.528 -5.475 0.397
-5.853 -0.093 -2.882
Co Ho O
2 4 8
direct
0.000 0.000 0.000
0.750 0.500 0.250
0.375 0.750 0.125
0.375 0.750 0.625
0.875 0.250 0.625
0.375 0.250 0.625
0.142 0.762 0.381
0.619 0.238 0.381
0.619 0.762 0.381
0.131 0.262 0.392
0.619 0.238 0.858
0.131 0.738 0.869
0.131 0.262 0.869
0.608 0.738 0.869